Li3SeI after structural relaxation. Source: the Alexandria database, functional PBEsol.

Structure (POSCAR):
```
Li3SeI
1.0
4.859 0.000 0.000
0.000 4.859 0.000
0.000 0.000 4.859
I Se Li
1 1 3
Cartesian
2.429 2.429 2.429 I
0.000 0.000 0.000 Se
0.000 2.429 0.000 Li
0.000 0.000 2.429 Li
2.429 0.000 0.000 Li
```

Output
Crystal system ... cubic
Total magnetization ... 0.0 μB/cell
Symmetry ... Pm-3m, No. 221
Final energy ... -3.4463 eV/atom
Calculated volume ... 22.94 Å³/atom
Formation energy from raw total energies ... -1.14 eV/atom

---

TiReP3O12 after structural relaxation. Source: the Alexandria database, functional PBEsol.

Structure (POSCAR):
```
TiReP3O12
1.0
-4.009 3.328 -6.840
-8.267 -1.856 -1.462
-6.080 6.227 1.189
Ti Re P O
2 2 6 24
Cartesian
-5.245 3.818 -0.472 Ti
-8.343 1.440 -5.218 Ti
-10.024 6.292 -1.871 Re
-13.122 3.914 -6.617 Re
-6.709 6.177 -2.336 P
-11.430 6.317 -4.912 P
-10.902 3.403 -0.421 P
-7.470 4.324 -6.668 P
-6.937 1.416 -2.184 P
-11.652 1.552 -4.751 P
-3.658 1.912 -3.595 O
-3.297 0.429 -1.264 O
-6.096 5.372 -1.198 O
-5.777 0.446 -2.535 O
-6.143 5.700 -3.700 O
-8.222 5.853 -2.424 O
-10.500 7.062 -5.860 O
-10.627 5.874 -3.663 O
-8.359 5.551 -6.648 O
-10.283 4.432 -1.400 O
-6.023 4.665 -6.233 O
-6.430 2.674 -1.508 O
-11.897 4.982 -5.550 O
-12.293 3.027 -0.911 O
-8.029 3.256 -5.738 O
-9.949 2.181 -0.510 O
-7.724 1.775 -3.436 O
-7.843 0.589 -1.238 O
-10.155 1.825 -4.730 O
-12.279 1.979 -3.439 O
-12.603 7.199 -4.532 O
-12.284 2.301 -5.951 O
-14.985 7.282 -5.850 O
-14.737 5.801 -3.578 O
```

Output
Crystal system ... trigonal
Total magnetization ... 4.0 μB/cell
Symmetry ... R3c, No. 161
Final energy ... -8.1833 eV/atom
Calculated volume ... 13.65 Å³/atom
Formation energy from raw total energies ... -2.18 eV/atom

---

Li5Ir after structural relaxation. Source: the Alexandria database, functional PBEsol.

Structure (POSCAR):
```
Li5Ir
1.0
2.534 0.000 0.000
0.000 4.530 0.000
-1.267 0.000 7.943
Ir Li
1 5
Cartesian
0.000 0.000 0.134 Ir
0.000 0.000 5.725 Li
1.267 0.000 2.528 Li
0.000 2.265 7.117 Li
1.267 2.265 4.241 Li
0.000 2.265 1.437 Li
```

Output
Relative energy among the computed polymorphs ... 2 kJ/mol of formula units
Crystal system ... orthorhombic
Total magnetization ... 0.0 μB/cell
Symmetry ... Amm2, No. 38
Final energy ... -3.3001 eV/atom
Calculated volume ... 15.20 Å³/atom